Entry 1:
A plane-wave DFT calculation with GGA-PBE was carried out for crystalline Mg2TcIr at its relaxed geometry.

a b c (Å): 9.159 9.159 9.159
angles (deg): 17.89 17.89 17.89
Fractional coordinates of all 4 atoms:
Mg  0.247  0.247  0.247
Mg  0.753  0.753  0.753
Tc  0.000  0.000  0.000
Ir  0.500  0.500  0.500

- E_form: 64 meV per atom
- D(E_F): 4.67 states/eV/f.u.
- Symmetry: R-3m (166)
- E above lowest polymorph: 187 meV/atom

---

Entry 2:
A plane-wave DFT calculation with GGA-PBE was carried out for crystalline MgTcIr4 at its relaxed geometry.

a b c (Å): 5.166 5.166 5.166
angles (deg): 60.00 60.00 60.00
Fractional coordinates of all 6 atoms:
Mg  0.000  0.000  0.000
Tc  0.250  0.250  0.250
Ir  0.125  0.625  0.625
Ir  0.625  0.125  0.625
Ir  0.625  0.625  0.125
Ir  0.625  0.625  0.625

- E_form: 233 meV per atom
- D(E_F): 8.41 states/eV/f.u.
- Symmetry: F-43m (216)